(1)
Entry from Alexandria via LeMat-Bulk: a relaxed ZnNi10P3 crystal (PBEsol).

## Properties
- DOS at the Fermi energy (states/eV/f.u.) = 6.8
- space group = No. 164
- ΔH_f (0 K) (eV per atom) = -0.4771

Lattice parameters (Å, degrees): 7.555 7.555 9.226 90.00 90.00 120.00
Fractional coordinates of all 42 atoms:
Zn (0.000, 0.000, 0.000)
Zn (0.333, 0.667, 0.640)
Zn (0.667, 0.333, 0.360)
Ni (0.000, 0.000, 0.379)
Ni (0.000, 0.000, 0.621)
Ni (0.000, 0.341, 0.500)
Ni (0.000, 0.659, 0.500)
Ni (0.017, 0.509, 0.241)
Ni (0.140, 0.281, 0.796)
Ni (0.140, 0.860, 0.796)
Ni (0.182, 0.365, 0.066)
Ni (0.182, 0.818, 0.066)
Ni (0.281, 0.140, 0.204)
Ni (0.333, 0.667, 0.386)
Ni (0.333, 0.667, 0.903)
Ni (0.341, 0.000, 0.500)
Ni (0.341, 0.341, 0.500)
Ni (0.365, 0.182, 0.934)
Ni (0.491, 0.509, 0.241)
Ni (0.491, 0.983, 0.241)
Ni (0.509, 0.017, 0.759)
Ni (0.509, 0.491, 0.759)
Ni (0.635, 0.818, 0.066)
Ni (0.659, 0.000, 0.500)
Ni (0.659, 0.659, 0.500)
Ni (0.667, 0.333, 0.097)
Ni (0.667, 0.333, 0.614)
Ni (0.719, 0.860, 0.796)
Ni (0.818, 0.182, 0.934)
Ni (0.818, 0.635, 0.934)
Ni (0.860, 0.140, 0.204)
Ni (0.860, 0.719, 0.204)
Ni (0.983, 0.491, 0.759)
P (0.000, 0.500, 0.000)
P (0.165, 0.330, 0.309)
P (0.165, 0.835, 0.309)
P (0.330, 0.165, 0.691)
P (0.500, 0.000, 0.000)
P (0.500, 0.500, 0.000)
P (0.670, 0.835, 0.309)
P (0.835, 0.165, 0.691)
P (0.835, 0.670, 0.691)

=====

(2)
Entry from Alexandria via LeMat-Bulk: a relaxed Cd3PAu crystal (PBEsol).

## Properties
- DOS at the Fermi energy (states/eV/f.u.) = 2.2
- space group = No. 221
- ΔH_f (0 K) (eV per atom) = 0.4562

Lattice parameters (Å, degrees): 4.945 4.945 4.945 90.00 90.00 90.00
Fractional coordinates of all 5 atoms:
Cd (0.000, 0.000, 0.500)
Cd (0.000, 0.500, 0.000)
Cd (0.500, 0.000, 0.000)
P (0.000, 0.000, 0.000)
Au (0.500, 0.500, 0.500)